# 1
# In2Pb2Cl | Alexandria via LeMat-Bulk | GGA-PBE | optimized geometry
data_In2Pb2Cl
_chemical_formula_sum 'In4 Pb4 Cl2'
_space_group_name_H-M_alt 'P 4/m b m'
_space_group_IT_number 127
_space_group_name_Hall '-P 4 2ab'
_cell_length_a 8.647
_cell_length_b 8.647
_cell_length_c 4.095
_cell_angle_alpha 90.00
_cell_angle_beta 90.00
_cell_angle_gamma 90.00
loop_
_atom_site_label
_atom_site_type_symbol
_atom_site_fract_x
_atom_site_fract_y
_atom_site_fract_z
In1 In 0.125 0.375 0.000
Pb1 Pb 0.180 0.680 0.500
Cl1 Cl 0.000 0.000 0.500
# Size of the total moment, μB/atom: 0.000
# Raw total energy, eV/atom: -3.08
# Density, g/cm³: 7.4
# Distance to the lowest polymorph of the same formula, meV/atom: 25
# Formation energy without anion corrections, eV per atom: -0.130

=====

# 2
# In3Pb2Cl7 | Alexandria via LeMat-Bulk | GGA-PBE | optimized geometry
data_In3Pb2Cl7
_chemical_formula_sum 'In12 Pb8 Cl28'
_space_group_name_H-M_alt 'C m c 21'
_space_group_IT_number 36
_cell_length_a 27.143
_cell_length_b 7.424
_cell_length_c 8.149
_cell_angle_alpha 90.00
_cell_angle_beta 90.00
_cell_angle_gamma 90.00
loop_
_space_group_symop_operation_xyz
'x,y,z'
'-x,-y,z+1/2'
'-x,y,z'
'x,-y,z+1/2'
'x+1/2,y+1/2,z'
'-x+1/2,-y+1/2,z+1/2'
'-x+1/2,y+1/2,z'
'x+1/2,-y+1/2,z+1/2'
loop_
_atom_site_label
_atom_site_type_symbol
_atom_site_fract_x
_atom_site_fract_y
_atom_site_fract_z
In1 In 0.000 0.230 0.000
In2 In 0.192 0.247 0.156
Pb1 Pb 0.102 0.252 0.571
Cl1 Cl 0.000 0.386 0.621
Cl2 Cl 0.079 0.075 0.255
Cl3 Cl 0.126 0.429 0.877
Cl4 Cl 0.201 0.134 0.531
# Size of the total moment, μB/atom: 0.000
# Raw total energy, eV/atom: -3.36
# Density, g/cm³: 4.1
# Formation energy without anion corrections, eV per atom: -0.982

=====

# 3
# In2PbCl | Alexandria via LeMat-Bulk | GGA-PBE | optimized geometry
data_In2PbCl
_chemical_formula_sum 'In4 Pb2 Cl2'
_space_group_name_H-M_alt 'C m m 2'
_space_group_IT_number 35
_cell_length_a 3.803
_cell_length_b 5.884
_cell_length_c 9.977
_cell_angle_alpha 90.00
_cell_angle_beta 90.00
_cell_angle_gamma 90.00
loop_
_space_group_symop_operation_xyz
'x,y,z'
'-x,-y,z'
'-x,y,z'
'x,-y,z'
'x+1/2,y+1/2,z'
'-x+1/2,-y+1/2,z'
'-x+1/2,y+1/2,z'
'x+1/2,-y+1/2,z'
loop_
_atom_site_label
_atom_site_type_symbol
_atom_site_fract_x
_atom_site_fract_y
_atom_site_fract_z
In1 In 0.000 0.000 0.000
In2 In 0.000 0.500 0.258
Pb1 Pb 0.000 0.000 0.527
Cl1 Cl 0.000 0.500 0.789
# Size of the total moment, μB/atom: 0.000
# Raw total energy, eV/atom: -3.00
# Density, g/cm³: 7.0
# Distance to the lowest polymorph of the same formula, meV/atom: 78
# Formation energy without anion corrections, eV per atom: -0.243

=====

# 4
# In5Pb3Cl12 | Alexandria via LeMat-Bulk | GGA-PBE | optimized geometry
data_In5Pb3Cl12
_chemical_formula_sum 'In40 Pb24 Cl96'
_space_group_name_H-M_alt 'I a -3 d'
_space_group_IT_number 230
_space_group_name_Hall '-I 4bd 2c 3'
_cell_length_a 17.509
_cell_length_b 17.509
_cell_length_c 17.509
_cell_angle_alpha 90.00
_cell_angle_beta 90.00
_cell_angle_gamma 90.00
loop_
_atom_site_label
_atom_site_type_symbol
_atom_site_fract_x
_atom_site_fract_y
_atom_site_fract_z
In1 In 0.000 0.000 0.000
In2 In 0.000 0.250 0.375
Pb1 Pb 0.000 0.250 0.125
Cl1 Cl 0.019 0.081 0.649
# Size of the total moment, μB/atom: 0.000
# Raw total energy, eV/atom: -3.19
# Density, g/cm³: 4.0
# Distance to the lowest polymorph of the same formula, meV/atom: 111
# Formation energy without anion corrections, eV per atom: -0.839

=====

# 5
# In2PbCl6 | Alexandria via LeMat-Bulk | GGA-PBE | optimized geometry
data_In2PbCl6
_chemical_formula_sum 'In8 Pb4 Cl24'
_space_group_name_H-M_alt 'C 1 2/c 1'
_space_group_IT_number 15
_cell_length_a 13.676
_cell_length_b 12.681
_cell_length_c 9.267
_cell_angle_alpha 90.00
_cell_angle_beta 117.39
_cell_angle_gamma 90.00
loop_
_space_group_symop_operation_xyz
'x,y,z'
'-x,-y,-z'
'-x,y,-z+1/2'
'x,-y,z+1/2'
'x+1/2,y+1/2,z'
'-x+1/2,-y+1/2,-z'
'-x+1/2,y+1/2,-z+1/2'
'x+1/2,-y+1/2,z+1/2'
loop_
_atom_site_label
_atom_site_type_symbol
_atom_site_fract_x
_atom_site_fract_y
_atom_site_fract_z
In1 In 0.170 0.086 0.247
Pb1 Pb 0.000 0.432 0.250
Cl1 Cl 0.115 0.409 0.610
Cl2 Cl 0.134 0.004 0.969
Cl3 Cl 0.150 0.290 0.237
# Size of the total moment, μB/atom: 0.000
# Raw total energy, eV/atom: -3.20
# Density, g/cm³: 3.0
# Distance to the lowest polymorph of the same formula, meV/atom: 0
# Formation energy without anion corrections, eV per atom: -0.948

=====

# 6
# In3PbCl | Alexandria via LeMat-Bulk | GGA-PBE | optimized geometry
data_In3PbCl
_chemical_formula_sum 'In3 Pb1 Cl1'
_space_group_name_H-M_alt 'P m -3 m'
_space_group_IT_number 221
_space_group_name_Hall '-P 4 2 3'
_cell_length_a 6.079
_cell_length_b 6.079
_cell_length_c 6.079
_cell_angle_alpha 90.00
_cell_angle_beta 90.00
_cell_angle_gamma 90.00
loop_
_atom_site_label
_atom_site_type_symbol
_atom_site_fract_x
_atom_site_fract_y
_atom_site_fract_z
In1 In 0.000 0.000 0.500
Pb1 Pb 0.000 0.000 0.000
Cl1 Cl 0.500 0.500 0.500
# Size of the total moment, μB/atom: 0.000
# Raw total energy, eV/atom: -2.57
# Density, g/cm³: 4.3
# Distance to the lowest polymorph of the same formula, meV/atom: 61
# Formation energy without anion corrections, eV per atom: 0.181

=====

# 7
# In2PbCl | Alexandria via LeMat-Bulk | GGA-PBE | optimized geometry
data_In2PbCl
_chemical_formula_sum 'In4 Pb2 Cl2'
_space_group_name_H-M_alt 'C 1 m 1'
_space_group_IT_number 8
_cell_length_a 11.995
_cell_length_b 3.513
_cell_length_c 5.560
_cell_angle_alpha 90.00
_cell_angle_beta 90.46
_cell_angle_gamma 90.00
loop_
_space_group_symop_operation_xyz
'x,y,z'
'x,-y,z'
'x+1/2,y+1/2,z'
'x+1/2,-y+1/2,z'
loop_
_atom_site_label
_atom_site_type_symbol
_atom_site_fract_x
_atom_site_fract_y
_atom_site_fract_z
In1 In 0.000 0.000 0.000
In2 In 0.227 0.500 0.535
Pb1 Pb 0.267 0.000 0.037
Cl1 Cl 0.497 0.000 0.535
# Size of the total moment, μB/atom: 0.000
# Raw total energy, eV/atom: -3.07
# Density, g/cm³: 6.7
# Distance to the lowest polymorph of the same formula, meV/atom: 7
# Formation energy without anion corrections, eV per atom: -0.313

=====

# 8
# In2PbCl | Alexandria via LeMat-Bulk | GGA-PBE | optimized geometry
data_In2PbCl
_chemical_formula_sum 'In2 Pb1 Cl1'
_space_group_name_H-M_alt 'P m m m'
_space_group_IT_number 47
_cell_length_a 3.456
_cell_length_b 5.533
_cell_length_c 5.794
_cell_angle_alpha 90.00
_cell_angle_beta 90.00
_cell_angle_gamma 90.00
loop_
_space_group_symop_operation_xyz
'x,y,z'
'-x,-y,-z'
'-x,-y,z'
'x,y,-z'
'x,-y,-z'
'-x,y,z'
'-x,y,-z'
'x,-y,z'
loop_
_atom_site_label
_atom_site_type_symbol
_atom_site_fract_x
_atom_site_fract_y
_atom_site_fract_z
In1 In 0.000 0.000 0.000
In2 In 0.500 0.500 0.000
Pb1 Pb 0.000 0.500 0.500
Cl1 Cl 0.500 0.000 0.500
# Size of the total moment, μB/atom: 0.000
# Raw total energy, eV/atom: -3.02
# Density, g/cm³: 7.1
# Distance to the lowest polymorph of the same formula, meV/atom: 59
# Formation energy without anion corrections, eV per atom: -0.262